1.
Material: LaCrF2
Method: DFT, PBE with a Hubbard U
State: relaxed

For the electronic total energy, the calculation gives -64.8 eV per cell. For the distance to the lowest polymorph of the same formula, the calculation gives 38.99 kJ/mol of atoms.

The space group is R-3m (No. 166, hexagonal axes) and the conventional cell measures 3.2464, 3.2464 and 22.7440 Å, with angles of 90.00, 90.00 and 120.00 degrees. The distinct sites, in fractional coordinates, are La at (0.0000, 0.0000, 0.0000), Cr at (0.0000, 0.0000, 0.5000) and F at (0.0000, 0.0000, 0.4114).


2.
Material: LaMg2CrF
Method: DFT, PBE with a Hubbard U
State: relaxed

For the electronic total energy, the calculation gives -17.4 eV per cell.

The space group is P4/mmm (No. 123) and the conventional cell measures 5.1565, 5.1565 and 5.7437 Å, with angles of 90.00, 90.00 and 90.00 degrees. The distinct sites, in fractional coordinates, are La at (0.0000, 0.0000, 0.0000), Mg at (0.0000, 0.5000, 0.5000), Cr at (0.0000, 0.0000, 0.5000) and F at (0.5000, 0.5000, 0.0000).


3.
Material: LaCrNF2
Method: DFT, PBE with a Hubbard U
State: relaxed

For the electronic total energy, the calculation gives -33.9 eV per cell. For the distance to the lowest polymorph of the same formula, the calculation gives 0.00 kJ/mol of atoms.

The space group is P4/mmm (No. 123) and the conventional cell measures 4.0442, 4.0442 and 4.2586 Å, with angles of 90.00, 90.00 and 90.00 degrees. The distinct sites, in fractional coordinates, are La at (0.0000, 0.0000, 0.0000), Cr at (0.5000, 0.5000, 0.5000), N at (0.5000, 0.5000, 0.0000) and F at (0.0000, 0.5000, 0.5000).


4.
Material: LaCrN2F
Method: DFT, PBE with a Hubbard U
State: relaxed

For the electronic total energy, the calculation gives -27.2 eV per cell. For the distance to the lowest polymorph of the same formula, the calculation gives 185.74 kJ/mol of atoms.

The space group is P4/mmm (No. 123) and the conventional cell measures 4.4630, 4.4630 and 4.5268 Å, with angles of 90.00, 90.00 and 90.00 degrees. The distinct sites, in fractional coordinates, are La at (0.0000, 0.0000, 0.0000), Cr at (0.5000, 0.5000, 0.5000), N at (0.0000, 0.5000, 0.0000) and F at (0.0000, 0.0000, 0.5000).


5.
Material: LaCrNF2
Method: DFT, PBE with a Hubbard U
State: relaxed

For the electronic total energy, the calculation gives -32.0 eV per cell. For the distance to the lowest polymorph of the same formula, the calculation gives 36.04 kJ/mol of atoms.

The space group is P4/mmm (No. 123) and the conventional cell measures 4.6131, 4.6131 and 4.7835 Å, with angles of 90.00, 90.00 and 90.00 degrees. The distinct sites, in fractional coordinates, are La at (0.0000, 0.0000, 0.0000), Cr at (0.5000, 0.5000, 0.5000), N at (0.0000, 0.0000, 0.5000) and F at (0.0000, 0.5000, 0.0000).


6.
Material: LaCrN2F
Method: DFT, PBE with a Hubbard U
State: relaxed

For the electronic total energy, the calculation gives -36.9 eV per cell. For the distance to the lowest polymorph of the same formula, the calculation gives 0.00 kJ/mol of atoms.

The space group is P4/mmm (No. 123) and the conventional cell measures 3.9924, 3.9924 and 3.9204 Å, with angles of 90.00, 90.00 and 90.00 degrees. The distinct sites, in fractional coordinates, are La at (0.0000, 0.0000, 0.0000), Cr at (0.5000, 0.5000, 0.5000), N at (0.0000, 0.5000, 0.5000) and F at (0.5000, 0.5000, 0.0000).


7.
Material: La2CrNiF
Method: DFT, PBE with a Hubbard U
State: relaxed

For the electronic total energy, the calculation gives -24.6 eV per cell.

The space group is P4/mmm (No. 123) and the conventional cell measures 5.1293, 5.1293 and 4.3686 Å, with angles of 90.00, 90.00 and 90.00 degrees. The distinct sites, in fractional coordinates, are La at (0.0000, 0.5000, 0.0000), Cr at (0.0000, 0.0000, 0.5000), Ni at (0.5000, 0.5000, 0.5000) and F at (0.5000, 0.5000, 0.0000).


8.
Material: LaCrOF2
Method: DFT, PBE with a Hubbard U
State: relaxed

For the electronic total energy, the calculation gives -31.8 eV per cell. For the distance to the lowest polymorph of the same formula, the calculation gives 28.80 kJ/mol of atoms.

The space group is P4/mmm (No. 123) and the conventional cell measures 4.1240, 4.1240 and 4.0152 Å, with angles of 90.00, 90.00 and 90.00 degrees. The distinct sites, in fractional coordinates, are La at (0.0000, 0.0000, 0.0000), Cr at (0.5000, 0.5000, 0.5000), O at (0.5000, 0.5000, 0.0000) and F at (0.0000, 0.5000, 0.5000).


9.
Material: LaCrOF2
Method: DFT, PBE with a Hubbard U
State: relaxed

For the electronic total energy, the calculation gives -33.3 eV per cell. For the distance to the lowest polymorph of the same formula, the calculation gives 0.00 kJ/mol of atoms.

The space group is P4/mmm (No. 123) and the conventional cell measures 4.7235, 4.7235 and 4.5910 Å, with angles of 90.00, 90.00 and 90.00 degrees. The distinct sites, in fractional coordinates, are La at (0.0000, 0.0000, 0.0000), Cr at (0.5000, 0.5000, 0.5000), O at (0.0000, 0.0000, 0.5000) and F at (0.0000, 0.5000, 0.0000).


10.
Material: LaCrO4F
Method: DFT, PBE with a Hubbard U
State: relaxed

For the electronic total energy, the calculation gives -203.5 eV per cell.

The space group is C2/m (No. 12) and the conventional cell measures 9.7287, 7.5871 and 6.9320 Å, with angles of 90.00, 105.86 and 90.00 degrees. The distinct sites, in fractional coordinates, are La at (0.2069, 0.0000, 0.1145), Cr at (0.1492, 0.5000, 0.2727), O at (0.0235, 0.5000, 0.7524), O at (0.1950, 0.3256, 0.1516), O at (0.2369, 0.5000, 0.5112) and F at (0.0170, 0.0000, 0.8215).


11.
Material: LaCrOs2F
Method: DFT, PBE with a Hubbard U
State: relaxed

For the electronic total energy, the calculation gives -33.5 eV per cell.

The space group is P4/mmm (No. 123) and the conventional cell measures 4.6397, 4.6397 and 4.1931 Å, with angles of 90.00, 90.00 and 90.00 degrees. The distinct sites, in fractional coordinates, are La at (0.0000, 0.0000, 0.0000), Cr at (0.5000, 0.5000, 0.0000), Os at (0.0000, 0.5000, 0.5000) and F at (0.5000, 0.5000, 0.5000).


12.
Material: La2CrPbF
Method: DFT, PBE with a Hubbard U
State: relaxed

For the electronic total energy, the calculation gives -25.7 eV per cell.

The space group is P4/mmm (No. 123) and the conventional cell measures 6.0048, 6.0048 and 3.9265 Å, with angles of 90.00, 90.00 and 90.00 degrees. The distinct sites, in fractional coordinates, are La at (0.0000, 0.5000, 0.0000), Cr at (0.0000, 0.0000, 0.0000), Pb at (0.5000, 0.5000, 0.5000) and F at (0.0000, 0.0000, 0.5000).


Question: Which of these has the lowest electronic total energy?
Answer: LaCrO4F


Question: Look up the electronic total energy of the third one.
Answer: -33.9 eV per cell


Copy entry 1 word for word.
Material: LaCrF2
Method: DFT, PBE with a Hubbard U
State: relaxed

For the electronic total energy, the calculation gives -64.8 eV per cell. For the distance to the lowest polymorph of the same formula, the calculation gives 38.99 kJ/mol of atoms.

The space group is R-3m (No. 166, hexagonal axes) and the conventional cell measures 3.2464, 3.2464 and 22.7440 Å, with angles of 90.00, 90.00 and 120.00 degrees. The distinct sites, in fractional coordinates, are La at (0.0000, 0.0000, 0.0000), Cr at (0.0000, 0.0000, 0.5000) and F at (0.0000, 0.0000, 0.4114).


Question: electronic total energy of number 10 (LaCrO4F)?
Answer: -203.5 eV per cell